(a)
A plane-wave DFT calculation with PBE-GGA was carried out for a relaxed VFe2Ni4 crystal.

Lattice parameters (Å, degrees): 7.1013 7.3117 3.3099 90.00 90.00 90.00
With the nearest neighbours (Å) after each atom.
Fractional positions:
V: 0.0000 0.0000 0.0000  8 Ni 2.46-2.55, 4 Fe 2.58
V: 0.5000 0.5000 0.0000  8 Ni 2.46-2.55, 4 Fe 2.58
Fe: 0.2210 0.5000 0.5000  8 Ni 2.42-2.69, 2 V 2.58
Fe: 0.2790 0.0000 0.5000  8 Ni 2.42-2.69, 2 V 2.58
Fe: 0.7210 0.0000 0.5000  8 Ni 2.42-2.69, 2 V 2.58
Fe: 0.7790 0.5000 0.5000  8 Ni 2.42-2.69, 2 V 2.58
Ni: 0.0000 0.2489 0.5000  4 Fe 2.42-2.69, 4 Ni 2.43, 2 V 2.46
Ni: 0.0000 0.7511 0.5000  4 Fe 2.42-2.69, 4 Ni 2.43, 2 V 2.46
Ni: 0.2500 0.2500 0.0000  4 Ni 2.43, 4 Fe 2.47, 2 V 2.55
Ni: 0.2500 0.7500 0.0000  4 Ni 2.43, 4 Fe 2.47, 2 V 2.55
Ni: 0.5000 0.2511 0.5000  4 Fe 2.42-2.69, 4 Ni 2.43, 2 V 2.46
Ni: 0.5000 0.7489 0.5000  4 Fe 2.42-2.69, 4 Ni 2.43, 2 V 2.46
Ni: 0.7500 0.2500 0.0000  4 Ni 2.43, 4 Fe 2.47, 2 V 2.55
Ni: 0.7500 0.7500 0.0000  4 Ni 2.43, 4 Fe 2.47, 2 V 2.55

Output
Spin magnetization = 5.935 μB/f.u.
Calculated volume = 172 Å³/cell

---

(b)
A plane-wave DFT calculation with PBE-GGA was carried out for a relaxed VFe2Ni4 crystal.

Lattice parameters (Å, degrees): 6.1558 4.5571 6.6040 90.00 117.76 90.00
With the nearest neighbours (Å) after each atom.
Fractional positions:
V: 0.2383 0.2500 0.2132  4 Ni 2.34-2.53, 2 Fe 2.41-2.50
V: 0.7617 0.7500 0.7868  4 Ni 2.34-2.53, 2 Fe 2.41-2.50
Fe: 0.2196 0.7500 0.9978  8 Ni 2.45-2.58, 3 V 2.50-2.66, 1 Fe 2.57
Fe: 0.3821 0.7500 0.4344  5 Ni 2.37-2.63, 3 V 2.41-2.63, 3 Fe 2.57-2.62
Fe: 0.6179 0.2500 0.5656  5 Ni 2.37-2.63, 3 V 2.41-2.63, 3 Fe 2.57-2.62
Fe: 0.7804 0.2500 0.0022  8 Ni 2.45-2.58, 3 V 2.50-2.66, 1 Fe 2.57
Ni: 0.0261 0.2500 0.4283  1 V 2.34, 7 Ni 2.44-2.58, 1 Fe 2.50
Ni: 0.0474 0.2500 0.8060  4 Fe 2.37-2.58, 1 V 2.38, 3 Ni 2.44-2.48
Ni: 0.3872 0.0020 0.7711  4 Ni 2.26-2.53, 3 Fe 2.45-2.49
Ni: 0.3872 0.4980 0.7711  4 Ni 2.26-2.53, 3 Fe 2.45-2.49
Ni: 0.6128 0.5020 0.2289  4 Ni 2.26-2.53, 3 Fe 2.45-2.49
Ni: 0.6128 0.9980 0.2289  4 Ni 2.26-2.53, 3 Fe 2.45-2.49
Ni: 0.9526 0.7500 0.1940  4 Fe 2.37-2.58, 1 V 2.38, 3 Ni 2.44-2.48
Ni: 0.9739 0.7500 0.5717  1 V 2.34, 7 Ni 2.44-2.58, 1 Fe 2.50

Output
Spin magnetization = 4.923 μB/f.u.
Calculated volume = 164 Å³/cell

---

Least stable: (a)

---

(a)
A plane-wave DFT calculation with PBE-GGA was carried out for a relaxed V4FeNi crystal.

Lattice parameters (Å, degrees): 6.4352 3.9411 6.7669 90.00 107.19 90.00
With the nearest neighbours (Å) after each atom.
Fractional positions:
V: 0.1247 0.0000 0.3710  3 Fe 2.31-2.39, 1 Ni 2.40, 2 V 2.57
V: 0.2100 0.5000 0.1647  3 Ni 2.44-2.46, 3 V 2.57-2.62
V: 0.2900 0.0000 0.8353  3 Ni 2.44-2.46, 3 V 2.57-2.62
V: 0.3753 0.5000 0.6290  3 Fe 2.31-2.39, 1 Ni 2.40, 2 V 2.57
V: 0.6247 0.5000 0.3710  3 Fe 2.31-2.39, 1 Ni 2.40, 2 V 2.57
V: 0.7100 0.0000 0.1647  3 Ni 2.44-2.46, 3 V 2.57-2.62
V: 0.7900 0.5000 0.8353  3 Ni 2.44-2.46, 3 V 2.57-2.62
V: 0.8753 0.0000 0.6290  3 Fe 2.31-2.39, 1 Ni 2.40, 2 V 2.57
Fe: 0.0000 0.5000 0.5000  6 V 2.31-2.39
Fe: 0.5000 0.0000 0.5000  6 V 2.31-2.39
Ni: 0.0000 0.0000 0.0000  8 V 2.40-2.46
Ni: 0.5000 0.5000 0.0000  8 V 2.40-2.46

Output
Spin magnetization = 1.170 μB/f.u.
Calculated volume = 164 Å³/cell

---

(b)
A plane-wave DFT calculation with PBE-GGA was carried out for a relaxed V4FeNi crystal.

Lattice parameters (Å, degrees): 2.9511 2.9511 8.6548 90.00 90.00 90.00
With the nearest neighbours (Å) after each atom.
Fractional positions:
V: 0.0000 0.0000 0.1648  4 Fe 2.53, 4 V 2.55
V: 0.0000 0.0000 0.8352  4 Fe 2.53, 4 V 2.55
V: 0.5000 0.5000 0.3341  4 Ni 2.53, 4 V 2.55
V: 0.5000 0.5000 0.6659  4 Ni 2.53, 4 V 2.55
Fe: 0.5000 0.5000 0.0000  8 V 2.53
Ni: 0.0000 0.0000 0.5000  8 V 2.53

Output
Spin magnetization = 1.195 μB/f.u.
Calculated volume = 75 Å³/cell

---

Least stable: (a)

---

(a)
A plane-wave DFT calculation with PBE-GGA was carried out for a relaxed VFeNi4 crystal.

Lattice parameters (Å, degrees): 4.0080 4.0080 4.8703 90.00 90.00 120.00
With the nearest neighbours (Å) after each atom.
Fractional positions:
V: 0.0000 0.0000 0.0000  2 Fe 2.44, 12 Ni 2.62
Fe: 0.0000 0.0000 0.5000  2 V 2.44, 12 Ni 2.61
Ni: 0.3333 0.6667 0.2538  5 Ni 2.31-2.47
Ni: 0.3333 0.6667 0.7462  5 Ni 2.31-2.47
Ni: 0.6667 0.3333 0.2538  5 Ni 2.31-2.47
Ni: 0.6667 0.3333 0.7462  5 Ni 2.31-2.47

Output
Spin magnetization = 1.168 μB/f.u.
Calculated volume = 68 Å³/cell

---

(b)
A plane-wave DFT calculation with PBE-GGA was carried out for a relaxed VFeNi4 crystal.

Lattice parameters (Å, degrees): 4.6333 4.6333 4.6333 60.00 60.00 60.00
With the nearest neighbours (Å) after each atom.
Fractional positions:
V: 0.0000 0.0000 0.0000  12 Ni 2.72, 4 Fe 2.84
Fe: 0.2500 0.2500 0.2500  12 Ni 2.72, 4 V 2.84
Ni: 0.1253 0.6249 0.6249  6 Ni 2.32
Ni: 0.6249 0.1253 0.6249  6 Ni 2.32
Ni: 0.6249 0.6249 0.1253  6 Ni 2.32
Ni: 0.6249 0.6249 0.6249  6 Ni 2.32

Output
Spin magnetization = 2.641 μB/f.u.
Calculated volume = 70 Å³/cell

---

(c)
A plane-wave DFT calculation with PBE-GGA was carried out for a relaxed VFeNi4 crystal.

Lattice parameters (Å, degrees): 7.3522 7.3522 4.7741 99.69 99.69 141.13
With the nearest neighbours (Å) after each atom.
Fractional positions:
V: 0.1250 0.8750 0.7500  8 Ni 2.43-2.51, 2 Fe 2.45
V: 0.8750 0.1250 0.2500  8 Ni 2.43-2.51, 2 Fe 2.45
Fe: 0.3750 0.6250 0.2500  8 Ni 2.42-2.51, 2 V 2.45
Fe: 0.6250 0.3750 0.7500  8 Ni 2.42-2.51, 2 V 2.45
Ni: 0.0327 0.4664 0.7512  2 Fe 2.42-2.51, 2 V 2.43-2.51, 7 Ni 2.44-2.57
Ni: 0.2186 0.2849 0.7513  2 Fe 2.42-2.51, 2 V 2.43-2.51, 7 Ni 2.44-2.59
Ni: 0.2849 0.2186 0.2513  2 Fe 2.42-2.51, 2 V 2.43-2.51, 7 Ni 2.44-2.59
Ni: 0.4664 0.0327 0.2512  2 Fe 2.42-2.51, 2 V 2.43-2.51, 7 Ni 2.44-2.57
Ni: 0.5336 0.9673 0.7488  2 Fe 2.42-2.51, 2 V 2.43-2.51, 7 Ni 2.44-2.57
Ni: 0.7151 0.7814 0.7487  2 Fe 2.42-2.51, 2 V 2.43-2.51, 7 Ni 2.44-2.59
Ni: 0.7814 0.7151 0.2487  2 Fe 2.42-2.51, 2 V 2.43-2.51, 7 Ni 2.44-2.59
Ni: 0.9673 0.5336 0.2488  2 Fe 2.42-2.51, 2 V 2.43-2.51, 7 Ni 2.44-2.57

Output
Spin magnetization = 2.406 μB/f.u.
Calculated volume = 140 Å³/cell

---

Least stable: (c)

---

(a)
A plane-wave DFT calculation with PBE-GGA was carried out for a relaxed V3FeNi crystal.

Lattice parameters (Å, degrees): 4.2374 4.2374 4.2374 90.00 90.00 90.00
With the nearest neighbours (Å) after each atom.
Fractional positions:
V: 0.0000 0.0000 0.5000  2 Fe 2.12
V: 0.0000 0.5000 0.0000  2 Fe 2.12
V: 0.5000 0.0000 0.0000  2 Fe 2.12
Fe: 0.0000 0.0000 0.0000  6 V 2.12
Ni: 0.5000 0.5000 0.5000  12 V 3.00

Output
Spin magnetization = 0.001 μB/f.u.
Calculated volume = 76 Å³/cell

---

(b)
A plane-wave DFT calculation with PBE-GGA was carried out for a relaxed V3FeNi crystal.

Lattice parameters (Å, degrees): 4.3101 4.3101 4.3101 90.00 90.00 90.00
With the nearest neighbours (Å) after each atom.
Fractional positions:
V: 0.0000 0.0000 0.5000  2 Ni 2.16
V: 0.0000 0.5000 0.0000  2 Ni 2.16
V: 0.5000 0.0000 0.0000  2 Ni 2.16
Fe: 0.5000 0.5000 0.5000  12 V 3.05
Ni: 0.0000 0.0000 0.0000  6 V 2.16

Output
Spin magnetization = 1.718 μB/f.u.
Calculated volume = 80 Å³/cell

---

Least stable: (b)

---

(a)
A plane-wave DFT calculation with PBE-GGA was carried out for a relaxed VFe3Ni6 crystal.

Lattice parameters (Å, degrees): 8.2177 8.2177 4.4645 90.00 90.00 129.67
With the nearest neighbours (Å) after each atom.
Fractional positions:
V: 0.1543 0.8457 0.5000  9 Ni 2.38-2.65, 4 Fe 2.55-2.64
V: 0.8457 0.1543 0.0000  9 Ni 2.38-2.65, 4 Fe 2.55-2.64
Fe: 0.0540 0.2943 0.4885  5 Ni 2.35-2.47, 2 Fe 2.40-2.43, 1 V 2.55
Fe: 0.2943 0.0540 0.9885  5 Ni 2.35-2.47, 2 Fe 2.40-2.43, 1 V 2.55
Fe: 0.4257 0.5743 0.5657  5 Ni 2.29-2.45, 2 Fe 2.40
Fe: 0.5743 0.4257 0.0657  5 Ni 2.29-2.45, 2 Fe 2.40
Fe: 0.7057 0.9460 0.4885  5 Ni 2.35-2.47, 2 Fe 2.40-2.43, 1 V 2.55
Fe: 0.9460 0.7057 0.9885  5 Ni 2.35-2.47, 2 Fe 2.40-2.43, 1 V 2.55
Ni: 0.0035 0.9965 0.2535  2 Ni 2.23, 4 Fe 2.43-2.44, 1 V 2.50
Ni: 0.1035 0.5503 0.8085  2 Fe 2.35-2.46, 5 Ni 2.42-2.60, 1 V 2.58
Ni: 0.2466 0.3622 0.0172  3 Fe 2.40-2.47, 3 Ni 2.54-2.64, 1 V 2.57
Ni: 0.2991 0.7009 0.2724  1 Fe 2.29, 1 V 2.38, 4 Ni 2.42-2.55
Ni: 0.3622 0.2466 0.5172  3 Fe 2.40-2.47, 3 Ni 2.54-2.64, 1 V 2.57
Ni: 0.4497 0.8965 0.8085  2 Fe 2.35-2.46, 5 Ni 2.42-2.60, 1 V 2.58
Ni: 0.5503 0.1035 0.3085  2 Fe 2.35-2.46, 5 Ni 2.42-2.60, 1 V 2.58
Ni: 0.6378 0.7534 0.0172  3 Fe 2.40-2.47, 3 Ni 2.54-2.64, 1 V 2.57
Ni: 0.7009 0.2991 0.7724  1 Fe 2.29, 1 V 2.38, 4 Ni 2.42-2.55
Ni: 0.7534 0.6378 0.5172  3 Fe 2.40-2.47, 3 Ni 2.54-2.64, 1 V 2.57
Ni: 0.8965 0.4497 0.3085  2 Fe 2.35-2.46, 5 Ni 2.42-2.60, 1 V 2.58
Ni: 0.9965 0.0035 0.7535  2 Ni 2.23, 4 Fe 2.43-2.44, 1 V 2.50

Output
Spin magnetization = 8.905 μB/f.u.
Calculated volume = 232 Å³/cell

---

(b)
A plane-wave DFT calculation with PBE-GGA was carried out for a relaxed VFe3Ni6 crystal.

Lattice parameters (Å, degrees): 8.0077 3.5324 8.0241 90.00 90.15 90.00
With the nearest neighbours (Å) after each atom.
Fractional positions:
V: 0.1119 0.2500 0.0560  10 Ni 2.45-2.60, 2 V 2.67
V: 0.8881 0.7500 0.9440  10 Ni 2.45-2.60, 2 V 2.67
Fe: 0.1012 0.7500 0.5502  4 Fe 2.50-2.53, 8 Ni 2.50-2.56
Fe: 0.2983 0.2500 0.6505  4 Fe 2.50-2.52, 8 Ni 2.51-2.55
Fe: 0.4997 0.2500 0.2509  10 Ni 2.51-2.55, 2 Fe 2.52
Fe: 0.5003 0.7500 0.7491  10 Ni 2.51-2.55, 2 Fe 2.52
Fe: 0.7017 0.7500 0.3495  4 Fe 2.50-2.52, 8 Ni 2.51-2.55
Fe: 0.8988 0.2500 0.4498  4 Fe 2.50-2.53, 8 Ni 2.50-2.56
Ni: 0.9999 0.2500 0.7527  3 V 2.51-2.59, 5 Ni 2.51-2.53, 4 Fe 2.53-2.56
Ni: 0.0001 0.7500 0.2473  3 V 2.51-2.59, 5 Ni 2.51-2.53, 4 Fe 2.53-2.56
Ni: 0.1992 0.7500 0.8530  3 V 2.50-2.60, 5 Ni 2.51-2.53, 4 Fe 2.53-2.55
Ni: 0.2003 0.2500 0.3529  1 V 2.48, 5 Fe 2.50-2.54, 6 Ni 2.51-2.53
Ni: 0.3003 0.7500 0.1523  2 V 2.45, 2 Fe 2.51, 8 Ni 2.52-2.54
Ni: 0.4005 0.7500 0.4503  5 Ni 2.51-2.52, 7 Fe 2.51-2.55
Ni: 0.4011 0.2500 0.9487  1 V 2.47, 7 Ni 2.51-2.54, 4 Fe 2.51-2.55
Ni: 0.5989 0.7500 0.0513  1 V 2.47, 7 Ni 2.51-2.54, 4 Fe 2.51-2.55
Ni: 0.5995 0.2500 0.5497  5 Ni 2.51-2.52, 7 Fe 2.51-2.55
Ni: 0.6997 0.2500 0.8477  2 V 2.45, 2 Fe 2.51, 8 Ni 2.52-2.54
Ni: 0.7997 0.7500 0.6471  1 V 2.48, 5 Fe 2.50-2.54, 6 Ni 2.51-2.53
Ni: 0.8008 0.2500 0.1470  3 V 2.50-2.60, 5 Ni 2.51-2.53, 4 Fe 2.53-2.55

Output
Spin magnetization = 9.977 μB/f.u.
Calculated volume = 227 Å³/cell

---

Least stable: (a)

---

(a)
A plane-wave DFT calculation with PBE-GGA was carried out for a relaxed Fe3NiW crystal.

Lattice parameters (Å, degrees): 4.2215 4.2215 4.2215 90.00 90.00 90.00
With the nearest neighbours (Å) after each atom.
Fractional positions:
Fe: 0.0000 0.0000 0.5000  2 Ni 2.11
Fe: 0.0000 0.5000 0.0000  2 Ni 2.11
Fe: 0.5000 0.0000 0.0000  2 Ni 2.11
Ni: 0.0000 0.0000 0.0000  6 Fe 2.11
W: 0.5000 0.5000 0.5000  12 Fe 2.99

Output
Spin magnetization = 8.421 μB/f.u.
Calculated volume = 75 Å³/cell

---

(b)
A plane-wave DFT calculation with PBE-GGA was carried out for a relaxed Fe3NiW crystal.

Lattice parameters (Å, degrees): 4.4300 4.4300 4.4300 90.00 90.00 90.00
With the nearest neighbours (Å) after each atom.
Fractional positions:
Fe: 0.0000 0.0000 0.5000  2 W 2.21
Fe: 0.0000 0.5000 0.0000  2 W 2.21
Fe: 0.5000 0.0000 0.0000  2 W 2.21
Ni: 0.5000 0.5000 0.5000  12 Fe 3.13
W: 0.0000 0.0000 0.0000  6 Fe 2.21

Output
Spin magnetization = 5.113 μB/f.u.
Calculated volume = 87 Å³/cell

---

Least stable: (b)